(1)
Compound: CsRbMgH4
Source: Alexandria via LeMat-Bulk
Functional: PBE-GGA
Structure: relaxed

Space-group type: No. 63
Theoretical density (g/cm3): 3.2
Total energy (eV per atom): -2.641

Cell and atoms, written as POSCAR:
```
CsRbMgH4
1.0
-4.396 3.068 -2.657
-2.732 -5.125 -1.396
-1.440 -1.305 7.612
H Cs Mg Rb
8 2 2 2
Direct
0.616 0.250 0.233 H
0.384 0.750 0.767 H
0.888 0.250 0.775 H
0.500 0.000 0.500 H
0.000 0.500 0.500 H
0.500 0.500 0.500 H
0.112 0.750 0.225 H
0.000 0.000 0.500 H
0.600 0.750 0.201 Cs
0.400 0.250 0.799 Cs
0.751 0.250 0.501 Mg
0.249 0.750 0.499 Mg
0.889 0.750 0.778 Rb
0.111 0.250 0.222 Rb
```



(2)
Compound: LiSnPt
Source: Alexandria via LeMat-Bulk
Functional: PBE-GGA
Structure: relaxed

Space-group type: No. 107
Theoretical density (g/cm3): 10.6
ΔH_f (0 K) (eV per atom): -0.590

Cell and atoms, written as POSCAR:
```
LiSnPt
1.0
-0.027 -0.282 3.450
0.192 -3.445 -0.280
4.113 2.093 -1.534
Sn Pt Li
1 1 1
Direct
0.287 0.287 0.574 Sn
0.953 0.953 0.905 Pt
0.611 0.611 0.221 Li
```



(3)
Compound: CaLuHg2
Source: Alexandria via LeMat-Bulk
Functional: PBE-GGA
Structure: relaxed

Space-group type: No. 225
Theoretical density (g/cm3): 10.1
ΔH_f (0 K) (eV per atom): -0.505

Cell and atoms, written as POSCAR:
```
CaLuHg2
1.0
5.241 0.000 0.000
2.620 4.539 0.000
2.620 1.513 4.279
Hg Lu Ca
2 1 1
Direct
0.000 0.000 0.000 Hg
0.500 0.500 0.500 Hg
0.750 0.750 0.750 Lu
0.250 0.250 0.250 Ca
```



Computed size of the total moment, in the same sequence as the records: 0.0, 0.0, 0.0 Bohr magnetons per cell.